A plane-wave DFT calculation with GGA-PBEsol was carried out for a relaxed structure of Hf2HI.

a b c (Å): 5.476 5.476 6.502
angles (deg): 114.91 114.91 90.00
Positions (direct):
H: 0.750 0.250 0.500
H: 0.500 0.500 0.000
Hf: 0.125 0.265 0.750
Hf: 0.735 0.375 0.250
Hf: 0.515 0.875 0.250
Hf: 0.625 0.485 0.750
I: 0.000 0.000 0.000
I: 0.250 0.750 0.500

- relative energy among the computed polymorphs (meV/atom) = 0.0
- final energy (eV/cell) = -50.6
- space-group type = I-42d, No. 122

---

A plane-wave DFT calculation with GGA-PBEsol was carried out for a relaxed structure of Zr2Co.

a b c (Å): 4.347 6.561 6.561
angles (deg): 120.00 90.00 90.00
Positions (direct):
Zr: 0.000 0.000 0.269
Zr: 0.000 0.269 0.000
Zr: 0.000 0.731 0.731
Zr: 0.500 0.000 0.599
Zr: 0.500 0.401 0.401
Zr: 0.500 0.599 0.000
Co: 0.500 0.000 0.000
Co: 0.000 0.667 0.333
Co: 0.000 0.333 0.667

- final energy (eV/cell) = -79.4
- space-group type = P-62m, No. 189

---

A plane-wave DFT calculation with GGA-PBEsol was carried out for a relaxed structure of CdHOs2Se.

a b c (Å): 4.496 4.496 5.277
angles (deg): 90.00 90.00 90.00
Each line ends with the local moment (μB).
Positions (direct):
Os: 0.000 0.500 0.000  0.84
Os: 0.500 0.000 0.000  0.84
Cd: 0.000 0.000 0.500  0.02
Se: 0.000 0.000 0.000  -0.01
H: 0.500 0.500 0.500  0.27

- final energy (eV/cell) = -22.2
- space-group type = P4/mmm, No. 123

---

A plane-wave DFT calculation with GGA-PBEsol was carried out for a relaxed structure of NbS2ClF.

a b c (Å): 4.112 4.112 4.880
angles (deg): 90.00 90.00 90.00
Each line ends with the local moment (μB).
Positions (direct):
S: 0.000 0.500 0.000  -0.09
S: 0.500 0.000 0.000  -0.09
F: 0.000 0.000 0.000  -0.01
Nb: 0.500 0.500 0.500  2.00
Cl: 0.000 0.000 0.500  -0.04

- final energy (eV/cell) = -21.4
- space-group type = P4/mmm, No. 123
- ΔE_f (raw) (eV per atom) = 0.424

---

A plane-wave DFT calculation with GGA-PBEsol was carried out for a relaxed structure of ReSe2Br.

a b c (Å): 3.133 4.489 6.720
angles (deg): 109.51 103.48 90.00
Positions (direct):
Se: 0.226 0.726 0.453
Se: 0.097 0.097 0.195
Re: 0.752 0.252 0.505
Br: 0.424 0.424 0.848

- relative energy among the computed polymorphs (meV/atom) = 131.8
- final energy (eV/cell) = -21.8
- space-group type = Imm2, No. 44
- ΔE_f (raw) (eV per atom) = 0.277

---

A plane-wave DFT calculation with GGA-PBEsol was carried out for a relaxed structure of KCrF3.

a b c (Å): 4.119 4.119 4.119
angles (deg): 90.00 90.00 90.00
Each line ends with the local moment (μB).
Positions (direct):
Cr: 0.000 0.000 0.000  3.69
F: 0.000 0.000 0.500  0.02
F: 0.000 0.500 0.000  0.02
F: 0.500 0.000 0.000  0.02
K: 0.500 0.500 0.500  0.00

- final energy (eV/cell) = -29.5
- space-group type = Pm-3m, No. 221
- ΔE_f (raw) (eV per atom) = -2.464

---

A plane-wave DFT calculation with GGA-PBEsol was carried out for a relaxed structure of ErCdAg2.

a b c (Å): 4.807 4.807 4.807
angles (deg): 60.00 60.00 60.00
Positions (direct):
Ag: 0.250 0.250 0.250
Ag: 0.750 0.750 0.750
Er: 0.000 0.000 0.000
Cd: 0.500 0.500 0.500

- final energy (eV/cell) = -14.0
- space-group type = Fm-3m, No. 225

---

A plane-wave DFT calculation with GGA-PBEsol was carried out for a relaxed structure of Cu2TcMo.

a b c (Å): 2.620 2.620 9.022
angles (deg): 81.65 81.65 60.00
Positions (direct):
Cu: 0.251 0.251 0.246
Cu: 0.749 0.749 0.754
Tc: 0.000 0.000 0.000
Mo: 0.500 0.500 0.500

- relative energy among the computed polymorphs (meV/atom) = 95.6
- final energy (eV/cell) = -30.5
- space-group type = R-3m, No. 166